## i
Here is crystalline Li5Mn3O8 at its relaxed geometry from Alexandria via LeMat-Bulk. Energies are from PBE with a Hubbard U.

Lattice parameters (Å, degrees): 5.006 5.087 5.938 91.17 91.15 108.61
Space group P1 (No. 1)
Inequivalent atoms, fractional coordinates:
1 Li 0.000 0.000 0.000
2 Li 0.000 0.494 0.762
3 Li 0.001 0.005 0.532
4 Li 0.485 0.990 0.775
5 Li 0.509 0.004 0.262
6 Mn 0.005 0.509 0.257
7 Mn 0.500 0.502 0.517
8 Mn 0.501 0.499 0.005
9 O 0.251 0.732 0.495
10 O 0.253 0.721 0.029
11 O 0.264 0.289 0.255
12 O 0.267 0.254 0.784
13 O 0.714 0.726 0.771
14 O 0.752 0.280 0.025
15 O 0.765 0.289 0.486
16 O 0.766 0.737 0.240

---

## ii
Here is crystalline Li5Mn3O8 at its relaxed geometry from Alexandria via LeMat-Bulk. Energies are from PBE with a Hubbard U.

Lattice parameters (Å, degrees): 6.268 3.018 18.330 90.00 92.23 90.00
Space group C2/m (No. 12)
Inequivalent atoms, fractional coordinates:
1 Li 0.000 0.000 0.000
2 Li 0.155 0.500 0.658
3 Li 0.223 0.500 0.105
4 Mn 0.000 0.500 0.500
5 Mn 0.025 0.000 0.208
6 O 0.028 0.000 0.097
7 O 0.040 0.000 0.307
8 O 0.147 0.000 0.551
9 O 0.169 0.500 0.798

---

What are the relative energies? In meV/atom: i 0; ii 353.

---

## i
Here is crystalline Li5Mn3O8 at its relaxed geometry from Alexandria via LeMat-Bulk. Energies are from PBE with a Hubbard U.

Lattice parameters (Å, degrees): 5.8565 5.8565 14.4138 90.00 90.00 120.00
Space group R-3m (No. 166, hexagonal axes)
Inequivalent atoms, fractional coordinates:
1 Li 0.0000 0.0000 0.0000
2 Li 0.0000 0.0000 0.5000
3 Li 0.0000 0.5000 0.0000
4 Mn 0.0000 0.5000 0.5000
5 O 0.0000 0.0000 0.2453
6 O 0.0188 0.5094 0.7598

---

## ii
Here is crystalline Li5Mn3O8 at its relaxed geometry from Alexandria via LeMat-Bulk. Energies are from PBE with a Hubbard U.

Lattice parameters (Å, degrees): 2.893 5.890 8.235 90.48 90.14 90.31
Space group P-1 (No. 2)
Inequivalent atoms, fractional coordinates:
1 Li 0.000 0.000 0.000
2 Li 0.000 0.000 0.500
3 Li 0.000 0.500 0.000
4 Li 0.499 0.241 0.775
5 Mn 0.000 0.500 0.500
6 Mn 0.500 0.247 0.240
7 O 0.000 0.028 0.252
8 O 0.005 0.478 0.257
9 O 0.492 0.729 0.511
10 O 0.500 0.252 0.019

---

What are the relative energies? In meV/atom: i 0; ii 64.

---

## i
Here is crystalline Li5Mn3O8 at its relaxed geometry from Alexandria via LeMat-Bulk. Energies are from PBE with a Hubbard U.

Lattice parameters (Å, degrees): 5.153 2.851 20.156 90.00 97.08 90.00
Space group C2/m (No. 12)
Inequivalent atoms, fractional coordinates:
1 Li 0.000 0.000 0.000
2 Li 0.217 0.500 0.121
3 Li 0.243 0.000 0.376
4 Mn 0.000 0.000 0.500
5 Mn 0.007 0.500 0.255
6 O 0.100 0.500 0.442
7 O 0.131 0.000 0.691
8 O 0.133 0.500 0.933
9 O 0.149 0.000 0.204

---

## ii
Here is crystalline Li5Mn3O8 at its relaxed geometry from Alexandria via LeMat-Bulk. Energies are from PBE with a Hubbard U.

Lattice parameters (Å, degrees): 5.026 5.081 5.793 73.27 89.95 79.97
Space group P-1 (No. 2)
Inequivalent atoms, fractional coordinates:
1 Li 0.000 0.000 0.000
2 Li 0.230 0.488 0.881
3 Li 0.239 0.502 0.370
4 Mn 0.000 0.000 0.500
5 Mn 0.500 0.001 0.246
6 O 0.141 0.228 0.204
7 O 0.142 0.225 0.682
8 O 0.378 0.779 0.555
9 O 0.397 0.775 0.058

---

What are the relative energies? In meV/atom: i 329; ii 0.

---

## i
Here is crystalline Li5Mn3O8 at its relaxed geometry from Alexandria via LeMat-Bulk. Energies are from PBE with a Hubbard U.

Lattice parameters (Å, degrees): 9.767 2.902 10.113 90.00 100.82 90.00
Space group C2/m (No. 12)
Inequivalent atoms, fractional coordinates:
1 Li 0.000 0.000 0.000
2 Li 0.245 0.000 0.376
3 Li 0.246 0.500 0.110
4 Mn 0.000 0.000 0.500
5 Mn 0.006 0.500 0.759
6 O 0.107 0.000 0.197
7 O 0.110 0.500 0.435
8 O 0.111 0.000 0.685
9 O 0.122 0.500 0.921

---

## ii
Here is crystalline Li5Mn3O8 at its relaxed geometry from Alexandria via LeMat-Bulk. Energies are from PBE with a Hubbard U.

Lattice parameters (Å, degrees): 5.056 5.776 5.912 60.88 74.29 73.49
Space group P-1 (No. 2)
Inequivalent atoms, fractional coordinates:
1 Li 0.000 0.000 0.000
2 Li 0.487 0.766 0.234
3 Li 0.491 0.246 0.257
4 Mn 0.000 0.000 0.500
5 Mn 0.000 0.500 0.000
6 Mn 0.000 0.500 0.500
7 O 0.219 0.608 0.149
8 O 0.221 0.133 0.147
9 O 0.224 0.138 0.612
10 O 0.235 0.644 0.596

---

## iii
Here is crystalline Li5Mn3O8 at its relaxed geometry from Alexandria via LeMat-Bulk. Energies are from PBE with a Hubbard U.

Lattice parameters (Å, degrees): 2.901 5.069 9.753 101.16 90.28 90.04
Space group P-1 (No. 2)
Inequivalent atoms, fractional coordinates:
1 Li 0.000 0.000 0.000
2 Li 0.000 0.500 0.500
3 Li 0.498 0.245 0.259
4 Li 0.500 0.000 0.500
5 Mn 0.003 0.238 0.743
6 Mn 0.500 0.500 0.000
7 O 0.002 0.901 0.637
8 O 0.011 0.600 0.882
9 O 0.493 0.854 0.133
10 O 0.496 0.636 0.359

---

What are the relative energies? In meV/atom: i 82; ii 0; iii 87.

---

## i
Here is crystalline Li5Mn3O8 at its relaxed geometry from Alexandria via LeMat-Bulk. Energies are from PBE with a Hubbard U.

Lattice parameters (Å, degrees): 12.605 2.904 9.787 90.00 128.31 90.00
Space group C2/m (No. 12)
Inequivalent atoms, fractional coordinates:
1 Li 0.000 0.000 0.000
2 Li 0.115 0.500 0.874
3 Li 0.121 0.000 0.361
4 Mn 0.000 0.500 0.500
5 Mn 0.242 0.500 0.243
6 O 0.062 0.000 0.672
7 O 0.077 0.500 0.195
8 O 0.190 0.500 0.583
9 O 0.199 0.000 0.085

---

## ii
Here is crystalline Li5Mn3O8 at its relaxed geometry from Alexandria via LeMat-Bulk. Energies are from PBE with a Hubbard U.

Lattice parameters (Å, degrees): 2.955 5.121 9.889 79.43 87.40 88.03
Space group P-1 (No. 2)
Inequivalent atoms, fractional coordinates:
1 Li 0.000 0.000 0.000
2 Li 0.032 0.741 0.774
3 Li 0.493 0.789 0.222
4 Mn 0.000 0.500 0.500
5 Mn 0.500 0.000 0.500
6 Mn 0.500 0.500 0.000
7 O 0.018 0.385 0.890
8 O 0.039 0.147 0.614
9 O 0.472 0.630 0.606
10 O 0.493 0.158 0.118

---

## iii
Here is crystalline Li5Mn3O8 at its relaxed geometry from Alexandria via LeMat-Bulk. Energies are from PBE with a Hubbard U.

Lattice parameters (Å, degrees): 10.054 5.921 10.115 90.00 108.38 90.00
Space group C2/c (No. 15)
Inequivalent atoms, fractional coordinates:
1 Li 0.000 0.238 0.250
2 Li 0.000 0.255 0.750
3 Li 0.248 0.024 0.741
4 Li 0.250 0.250 0.500
5 Mn 0.000 0.000 0.000
6 Mn 0.000 0.500 0.000
7 Mn 0.250 0.250 0.000
8 O 0.108 0.246 0.607
9 O 0.127 0.017 0.889
10 O 0.128 0.483 0.890
11 O 0.130 0.222 0.119

---

What are the relative energies? In meV/atom: i 71; ii 59; iii 0.

---

## i
Here is crystalline Li2Mn3O6 at its relaxed geometry from Alexandria via LeMat-Bulk. Energies are from PBE with a Hubbard U.

Lattice parameters (Å, degrees): 9.078 5.086 10.608 90.00 107.81 90.00
Space group Cc (No. 9)
Inequivalent atoms, fractional coordinates:
1 Li 0.000 0.003 0.000
2 Li 0.329 0.021 0.500
3 Mn 0.083 0.351 0.249
4 Mn 0.248 0.149 0.738
5 Mn 0.412 0.350 0.238
6 O 0.039 0.314 0.642
7 O 0.102 0.027 0.351
8 O 0.227 0.164 0.131
9 O 0.289 0.481 0.837
10 O 0.399 0.327 0.632
11 O 0.432 0.043 0.349

---

## ii
Here is crystalline Li2Mn3O6 at its relaxed geometry from Alexandria via LeMat-Bulk. Energies are from PBE with a Hubbard U.

Lattice parameters (Å, degrees): 14.659 2.885 5.183 90.00 100.89 90.00
Space group C2/m (No. 12)
Inequivalent atoms, fractional coordinates:
1 Li 0.183 0.000 0.075
2 Mn 0.000 0.000 0.000
3 Mn 0.148 0.500 0.552
4 O 0.071 0.500 0.877
5 O 0.093 0.000 0.327
6 O 0.226 0.000 0.734

---

What are the relative energies? In meV/atom: i 19; ii 0.